# LiCuAu2 | the Alexandria database | PBE | optimized geometry
data_LiCuAu2
_chemical_formula_sum 'Li2 Cu2 Au4'
_symmetry_space_group_name_H-M 'I m m m'
_symmetry_Int_Tables_number 71
_symmetry_space_group_name_Hall '-I 2 2'
_cell_length_a 2.809
_cell_length_b 4.850
_cell_length_c 10.423
_cell_angle_alpha 90.00
_cell_angle_beta 90.00
_cell_angle_gamma 90.00
loop_
_atom_site_label
_atom_site_fract_x
_atom_site_fract_y
_atom_site_fract_z
Li1 0.000 0.000 0.000
Cu1 0.000 0.000 0.500
Au1 0.000 0.000 0.256
# Energy relative to the elements (meV/atom): 49
# DOS at the Fermi energy (states/eV/f.u.): 1.2
# Spin magnetization (μB/cell): 0.00
# Crystal system: orthorhombic
# DFT total energy (eV for the cell shown): -24.74

***

# LiCu2Au | the Alexandria database | PBE | optimized geometry
data_LiCu2Au
_chemical_formula_sum 'Li1 Cu2 Au1'
_symmetry_space_group_name_H-M 'P 4/m m m'
_symmetry_Int_Tables_number 123
_symmetry_space_group_name_Hall '-P 4 2'
_cell_length_a 3.735
_cell_length_b 3.735
_cell_length_c 3.889
_cell_angle_alpha 90.00
_cell_angle_beta 90.00
_cell_angle_gamma 90.00
loop_
_atom_site_label
_atom_site_fract_x
_atom_site_fract_y
_atom_site_fract_z
Li1 0.000 0.000 0.000
Cu1 0.000 0.500 0.500
Au1 0.500 0.500 0.000
# Energy relative to the elements (meV/atom): -199
# DOS at the Fermi energy (states/eV/f.u.): 0.8
# Energy relative to the lowest polymorph listed for this composition (eV per atom): 0.007
# Spin magnetization (μB/cell): 0.00
# Crystal system: tetragonal
# DFT total energy (eV for the cell shown): -14.18

***

# LiCu7Au12 | the Alexandria database | PBE | optimized geometry
data_LiCu7Au12
_chemical_formula_sum 'Li3 Cu21 Au36'
_symmetry_space_group_name_H-M 'R -3 m'
_symmetry_Int_Tables_number 166
_symmetry_space_group_name_Hall '-R 3 2"'
_cell_length_a 10.5809
_cell_length_b 10.5809
_cell_length_c 10.7092
_cell_angle_alpha 90.00
_cell_angle_beta 90.00
_cell_angle_gamma 120.00
loop_
_atom_site_label
_atom_site_fract_x
_atom_site_fract_y
_atom_site_fract_z
Li1 0.0000 0.0000 0.0000
Cu1 0.0000 0.0000 0.5000
Cu2 0.1004 0.2007 0.8449
Au1 0.0202 0.5101 0.7365
Au2 0.0944 0.1888 0.3311
# Energy relative to the elements (meV/atom): 121
# DOS at the Fermi energy (states/eV/f.u.): 6.5
# Spin magnetization (μB/cell): 0.00
# Crystal system: trigonal
# DFT total energy (eV for the cell shown): -202.46

***

# LiCu6Au12 | the Alexandria database | PBE | optimized geometry
data_LiCu6Au12
_chemical_formula_sum 'Li3 Cu18 Au36'
_symmetry_space_group_name_H-M 'R -3'
_symmetry_Int_Tables_number 148
_symmetry_space_group_name_Hall '-R 3'
_cell_length_a 11.1371
_cell_length_b 11.1371
_cell_length_c 9.3021
_cell_angle_alpha 90.00
_cell_angle_beta 90.00
_cell_angle_gamma 120.00
loop_
_atom_site_label
_atom_site_fract_x
_atom_site_fract_y
_atom_site_fract_z
Li1 0.0000 0.0000 0.0000
Cu1 0.0325 0.8895 0.7056
Au1 0.0642 0.5888 0.1153
Au2 0.0660 0.5930 0.6188
# Energy relative to the elements (meV/atom): 68
# DOS at the Fermi energy (states/eV/f.u.): 5.5
# Energy relative to the lowest polymorph listed for this composition (eV per atom): 0.158
# Spin magnetization (μB/cell): 0.00
# Crystal system: trigonal
# DFT total energy (eV for the cell shown): -193.57

***

# LiCu5Au6 | the Alexandria database | PBE | optimized geometry
data_LiCu5Au6
_chemical_formula_sum 'Li2 Cu10 Au12'
_symmetry_space_group_name_H-M 'I m m m'
_symmetry_Int_Tables_number 71
_symmetry_space_group_name_Hall '-I 2 2'
_cell_length_a 4.092
_cell_length_b 7.246
_cell_length_c 12.230
_cell_angle_alpha 90.00
_cell_angle_beta 90.00
_cell_angle_gamma 90.00
loop_
_atom_site_label
_atom_site_fract_x
_atom_site_fract_y
_atom_site_fract_z
Li1 0.000 0.000 0.000
Cu1 0.000 0.000 0.333
Cu2 0.000 0.500 0.000
Cu3 0.000 0.500 0.333
Au1 0.000 0.250 0.166
Au2 0.000 0.251 0.500
# Energy relative to the elements (meV/atom): -135
# DOS at the Fermi energy (states/eV/f.u.): 3.6
# Energy relative to the lowest polymorph listed for this composition (eV per atom): 0.000
# Spin magnetization (μB/cell): 0.00
# Crystal system: orthorhombic
# DFT total energy (eV for the cell shown): -87.35

***

# Li2Cu2Au | the Alexandria database | PBE | optimized geometry
data_Li2Cu2Au
_chemical_formula_sum 'Li4 Cu4 Au2'
_symmetry_space_group_name_H-M 'C 1 2/m 1'
_symmetry_Int_Tables_number 12
_symmetry_space_group_name_Hall '-C 2y'
_cell_length_a 8.335
_cell_length_b 3.883
_cell_length_c 5.926
_cell_angle_alpha 90.00
_cell_angle_beta 134.04
_cell_angle_gamma 90.00
loop_
_atom_site_label
_atom_site_fract_x
_atom_site_fract_y
_atom_site_fract_z
Li1 0.202 0.000 0.296
Cu1 0.107 0.500 0.913
Au1 0.000 0.000 0.500
# Energy relative to the elements (meV/atom): -225
# DOS at the Fermi energy (states/eV/f.u.): 1.3
# Energy relative to the lowest polymorph listed for this composition (eV per atom): 0.000
# Spin magnetization (μB/cell): 0.00
# Crystal system: monoclinic
# DFT total energy (eV for the cell shown): -32.85

***

# Li3CuAu | the Alexandria database | PBE | optimized geometry
data_Li3CuAu
_chemical_formula_sum 'Li12 Cu4 Au4'
_symmetry_space_group_name_H-M 'P n m a'
_symmetry_Int_Tables_number 62
_symmetry_space_group_name_Hall '-P 2ac 2n'
_cell_length_a 4.516
_cell_length_b 9.897
_cell_length_c 7.369
_cell_angle_alpha 90.00
_cell_angle_beta 90.00
_cell_angle_gamma 90.00
loop_
_atom_site_label
_atom_site_fract_x
_atom_site_fract_y
_atom_site_fract_z
Li1 0.001 0.090 0.153
Li2 0.010 0.250 0.838
Cu1 0.006 0.250 0.441
Au1 0.000 0.000 0.500
# Energy relative to the elements (meV/atom): -200
# DOS at the Fermi energy (states/eV/f.u.): 1.6
# Energy relative to the lowest polymorph listed for this composition (eV per atom): 0.076
# Spin magnetization (μB/cell): 0.00
# Crystal system: orthorhombic
# DFT total energy (eV for the cell shown): -56.46

***

# LiCu2Au | the Alexandria database | PBE | optimized geometry
data_LiCu2Au
_chemical_formula_sum 'Li2 Cu4 Au2'
_symmetry_space_group_name_H-M 'I m m m'
_symmetry_Int_Tables_number 71
_symmetry_space_group_name_Hall '-I 2 2'
_cell_length_a 3.718
_cell_length_b 3.740
_cell_length_c 7.847
_cell_angle_alpha 90.00
_cell_angle_beta 90.00
_cell_angle_gamma 90.00
loop_
_atom_site_label
_atom_site_fract_x
_atom_site_fract_y
_atom_site_fract_z
Li1 0.000 0.000 0.000
Cu1 0.000 0.500 0.250
Au1 0.000 0.000 0.500
# Energy relative to the elements (meV/atom): -206
# DOS at the Fermi energy (states/eV/f.u.): 1.1
# Energy relative to the lowest polymorph listed for this composition (eV per atom): 0.000
# Spin magnetization (μB/cell): 0.00
# Crystal system: orthorhombic
# DFT total energy (eV for the cell shown): -28.41

***

# Li4CuAu2 | the Alexandria database | PBE | optimized geometry
data_Li4CuAu2
_chemical_formula_sum 'Li12 Cu3 Au6'
_symmetry_space_group_name_H-M 'R -3 m'
_symmetry_Int_Tables_number 166
_symmetry_space_group_name_Hall '-R 3 2"'
_cell_length_a 4.4056
_cell_length_b 4.4056
_cell_length_c 19.3471
_cell_angle_alpha 90.00
_cell_angle_beta 90.00
_cell_angle_gamma 120.00
loop_
_atom_site_label
_atom_site_fract_x
_atom_site_fract_y
_atom_site_fract_z
Li1 0.0000 0.0000 0.0894
Li2 0.0000 0.0000 0.3660
Cu1 0.0000 0.0000 0.5000
Au1 0.0000 0.0000 0.2281
# Energy relative to the elements (meV/atom): -347
# DOS at the Fermi energy (states/eV/f.u.): 1.4
# Spin magnetization (μB/cell): 0.00
# Crystal system: trigonal
# DFT total energy (eV for the cell shown): -62.20

***

# LiCuAu2 | the Alexandria database | PBE | optimized geometry
data_LiCuAu2
_chemical_formula_sum 'Li2 Cu2 Au4'
_symmetry_space_group_name_H-M 'C 1 m 1'
_symmetry_Int_Tables_number 8
_symmetry_space_group_name_Hall 'C -2y'
_cell_length_a 9.450
_cell_length_b 2.836
_cell_length_c 4.663
_cell_angle_alpha 90.00
_cell_angle_beta 97.68
_cell_angle_gamma 90.00
loop_
_atom_site_label
_atom_site_fract_x
_atom_site_fract_y
_atom_site_fract_z
Li1 0.000 0.000 0.000
Cu1 0.240 0.000 0.697
Au1 0.247 0.500 0.191
Au2 0.499 0.000 0.513
# Energy relative to the elements (meV/atom): -272
# DOS at the Fermi energy (states/eV/f.u.): 0.6
# Spin magnetization (μB/cell): 0.00
# Crystal system: monoclinic
# DFT total energy (eV for the cell shown): -27.30

***

# Li2CuAu2 | the Alexandria database | PBE | optimized geometry
data_Li2CuAu2
_chemical_formula_sum 'Li8 Cu4 Au8'
_symmetry_space_group_name_H-M 'C 1 2/c 1'
_symmetry_Int_Tables_number 15
_symmetry_space_group_name_Hall '-C 2yc'
_cell_length_a 9.707
_cell_length_b 4.595
_cell_length_c 7.254
_cell_angle_alpha 90.00
_cell_angle_beta 109.81
_cell_angle_gamma 90.00
loop_
_atom_site_label
_atom_site_fract_x
_atom_site_fract_y
_atom_site_fract_z
Li1 0.197 0.180 0.151
Cu1 0.000 0.192 0.750
Au1 0.101 0.310 0.454
# Energy relative to the elements (meV/atom): -358
# DOS at the Fermi energy (states/eV/f.u.): 1.3
# Energy relative to the lowest polymorph listed for this composition (eV per atom): 0.000
# Spin magnetization (μB/cell): 0.00
# Crystal system: monoclinic
# DFT total energy (eV for the cell shown): -65.06

***

# LiCuAu2 | the Alexandria database | PBE | optimized geometry
data_LiCuAu2
_chemical_formula_sum 'Li3 Cu3 Au6'
_symmetry_space_group_name_H-M 'R -3 m'
_symmetry_Int_Tables_number 166
_symmetry_space_group_name_Hall '-R 3 2"'
_cell_length_a 2.9378
_cell_length_b 2.9378
_cell_length_c 25.4154
_cell_angle_alpha 90.00
_cell_angle_beta 90.00
_cell_angle_gamma 120.00
loop_
_atom_site_label
_atom_site_fract_x
_atom_site_fract_y
_atom_site_fract_z
Li1 0.0000 0.0000 0.0000
Cu1 0.0000 0.0000 0.5000
Au1 0.0000 0.0000 0.2491
# Energy relative to the elements (meV/atom): -151
# DOS at the Fermi energy (states/eV/f.u.): 1.6
# Spin magnetization (μB/cell): 0.00
# Crystal system: trigonal
# DFT total energy (eV for the cell shown): -39.50